# 1
{
  "formula": "TiMnV",
  "functional": "GGA-PBE",
  "state": "optimized geometry",
  "formation_enthalpy_0k_ev_per_atom": -0.0435,
  "cell": [[-1.9860, -1.7883, 0.1985], [2.3718, -1.0235, 0.7133], [-1.1770, 3.1380, 5.3016]],
  "species": ["Mn", "Ti", "V"],
  "fractional_positions": [[0.3280, 0.3280, 0.6560], [0.9916, 0.9916, 0.9831], [0.6804, 0.6804, 0.3609]]
}

# 2
{
  "formula": "Rb2LiCdN",
  "functional": "GGA-PBE",
  "state": "optimized geometry",
  "e_form_raw_kj_per_mol_fu": 249,
  "cell": [[7.0981, 0.0000, 0.0000], [0.0000, 4.0087, 0.0000], [0.0000, 0.0000, 7.0981]],
  "species": ["N", "Li", "Rb", "Rb", "Cd"],
  "fractional_positions": [[0.0000, 0.5000, 0.0000], [0.5000, 0.5000, 0.5000], [0.0000, 0.0000, 0.5000], [0.5000, 0.0000, 0.0000], [0.0000, 0.0000, 0.0000]]
}

# 3
{
  "formula": "TmTcH6",
  "functional": "GGA-PBE",
  "state": "optimized geometry",
  "final_energy_ev_per_cell": -35.20,
  "cell": [[4.2983, 0.6061, 2.4082], [1.7929, 3.9545, 2.4062], [0.8945, 0.6722, 4.8361]],
  "species": ["Tm", "Tc", "H", "H", "H", "H", "H", "H"],
  "fractional_positions": [[0.0000, 0.0000, 0.0000], [0.5000, 0.5000, 0.5000], [0.5834, 0.5832, 0.0564], [0.5835, 0.0561, 0.5837], [0.0561, 0.5836, 0.5835], [0.9439, 0.4164, 0.4165], [0.4165, 0.9439, 0.4163], [0.4166, 0.4168, 0.9436]]
}

# 4
{
  "formula": "BeFe2P",
  "functional": "GGA-PBE",
  "state": "optimized geometry",
  "formation_enthalpy_0k_ev_per_atom": 0.1569,
  "cell": [[2.5030, -0.0020, 0.0000], [-0.5990, 2.4303, 0.0000], [0.0000, 0.0000, 7.4253]],
  "species": ["P", "Fe", "Fe", "Be"],
  "fractional_positions": [[0.0000, 0.0000, 0.4953], [0.0000, 0.0000, 0.9863], [0.5000, 0.5000, 0.2506], [0.5000, 0.5000, 0.7678]]
}

# 5
{
  "formula": "LaGdScAl",
  "functional": "GGA-PBE",
  "state": "optimized geometry",
  "formation_enthalpy_0k_ev_per_atom": -0.1138,
  "cell": [[-1.8819, 1.5752, -4.7568], [-2.8984, -3.3708, -2.9811], [-5.2449, 0.8418, -0.6577]],
  "species": ["Sc", "Gd", "Al", "La"],
  "fractional_positions": [[0.2500, 0.2500, 0.2500], [0.5000, 0.5000, 0.5000], [0.7500, 0.7500, 0.7500], [0.0000, 0.0000, 0.0000]]
}

# 6
{
  "formula": "Si2Se",
  "functional": "GGA-PBE",
  "state": "optimized geometry",
  "e_form_raw_kj_per_mol_fu": 69,
  "cell": [[0.3942, -0.0388, 3.6025], [-1.6641, -2.7523, -1.6706], [8.4590, -4.5230, -0.9744]],
  "species": ["Si", "Si", "Si", "Si", "Se", "Se"],
  "fractional_positions": [[0.6667, 0.3333, 0.4365], [0.3333, 0.6667, 0.9365], [0.3333, 0.6667, 0.5635], [0.6667, 0.3333, 0.0635], [0.0000, 0.0000, 0.2500], [0.0000, 0.0000, 0.7500]]
}

Going through the records in order, we get theoretical density values of 6.31; 2.50; 6.90; 5.58; 5.64; 4.09 g cm⁻³.
Going through the records in order, we get spin magnetization values of 0.0; 0.0; 1.8; 4.5; 8.3; 0.0 μB/f.u..
Going through the records in order, we get Fermi-level density of states values of 1.107; 0.415; 0.178; 0.561; 1.047; 0.329 states/eV/atom.